# 1
DFT (GGA-PBE) results for a relaxed structure of DyHoPuIn.

Unit cell a=5.412 b=5.412 c=5.412 alpha=60.00 beta=60.00 gamma=60.00
Each line ends with the local moment (μB).
Fractional positions:
Pu (0.000, 0.000, 0.000)  5.54
Ho (0.750, 0.750, 0.750)  0.41
Dy (0.500, 0.500, 0.500)  0.23
In (0.250, 0.250, 0.250)  -0.03

Calculated values
Size of the total moment   6.6 Bohr magnetons per cell
Space-group type   F-43m, No. 216
Energy of formation   -24 meV per atom

---

# 2
DFT (GGA-PBE) results for a relaxed structure of Dy2HoInRh4.

Unit cell a=4.776 b=4.776 c=8.226 alpha=73.12 beta=73.12 gamma=60.00
Fractional positions:
Rh (0.375, 0.375, 0.874)
Rh (0.876, 0.876, 0.371)
Rh (0.625, 0.625, 0.126)
Rh (0.124, 0.124, 0.629)
In (0.500, 0.500, 0.500)
Dy (0.245, 0.245, 0.264)
Dy (0.755, 0.755, 0.736)
Ho (0.000, 0.000, 0.000)

Calculated values
Size of the total moment   0.0 Bohr magnetons per cell
Space-group type   R-3m, No. 166
Energy of formation   -819 meV per atom

---

# 3
DFT (GGA-PBE) results for a relaxed structure of DyHoInRh.

Unit cell a=3.522 b=3.522 c=7.506 alpha=90.00 beta=90.00 gamma=90.00
Fractional positions:
In (0.000, 0.000, 0.073)
Rh (0.000, 0.000, 0.569)
Dy (0.500, 0.500, 0.789)
Ho (0.500, 0.500, 0.354)

Calculated values
Size of the total moment   0.0 Bohr magnetons per cell
ΔE to the lowest computed polymorph   0 meV/atom
Space-group type   P4mm, No. 99
Energy of formation   -688 meV per atom

---

# 4
DFT (GGA-PBE) results for a relaxed structure of DyHoInRh.

Unit cell a=5.085 b=5.085 c=5.085 alpha=60.00 beta=60.00 gamma=60.00
Fractional positions:
Dy (0.750, 0.750, 0.750)
Ho (0.250, 0.250, 0.250)
In (0.500, 0.500, 0.500)
Rh (0.000, 0.000, 0.000)

Calculated values
Size of the total moment   0.0 Bohr magnetons per cell
ΔE to the lowest computed polymorph   119 meV/atom
Space-group type   F-43m, No. 216
Energy of formation   -569 meV per atom